Record 1
## LiY2GeN (PBE-GGA)

Data for an optimized crystal structure of LiY2GeN.

a b c (Å): 4.750 4.750 4.088
angles (deg): 90.00 90.00 90.00
Atoms (fractional coordinates):
Li: 0.000 0.000 0.000
Y: 0.000 0.500 0.500
Y: 0.500 0.000 0.500
Ge: 0.500 0.500 0.000
N: 0.000 0.000 0.500

**Space group**: P4/mmm, No. 123
**Formation energy without anion corrections**: -5.16 eV/f.u.
**Size of the total moment**: 0.00 μB/atom

---

Record 2
## LiZr2GeN (PBE-GGA)

Data for an optimized crystal structure of LiZr2GeN.

a b c (Å): 4.446 4.446 3.967
angles (deg): 90.00 90.00 90.00
Atoms (fractional coordinates):
Li: 0.000 0.000 0.000
Zr: 0.000 0.500 0.500
Zr: 0.500 0.000 0.500
Ge: 0.500 0.500 0.000
N: 0.000 0.000 0.500

**Space group**: P4/mmm, No. 123
**Formation energy without anion corrections**: -4.54 eV/f.u.
**Size of the total moment**: 0.00 μB/atom

---

Record 3
## NaLi2Ge (PBE-GGA)

Data for an optimized crystal structure of NaLi2Ge.

a b c (Å): 5.751 5.751 8.362
angles (deg): 90.00 90.00 140.65
Atoms (fractional coordinates):
Na: 0.043 0.957 0.750
Na: 0.957 0.043 0.250
Li: 0.330 0.670 0.557
Li: 0.330 0.670 0.943
Li: 0.670 0.330 0.057
Li: 0.670 0.330 0.443
Ge: 0.243 0.757 0.250
Ge: 0.757 0.243 0.750

**ΔH_f (0 K)**: -58.7 kJ/mol of formula units
**Space group**: Cmcm, No. 63
**Size of the total moment**: 0.00 μB/atom

---

Record 4
## NaLi2Ge4 (PBE-GGA)

Data for an optimized crystal structure of NaLi2Ge4.

a b c (Å): 5.580 5.580 5.580
angles (deg): 103.75 103.75 121.64
Atoms (fractional coordinates):
Na: 0.000 0.000 0.000
Li: 0.250 0.750 0.500
Li: 0.750 0.250 0.500
Ge: 0.303 0.303 0.607
Ge: 0.303 0.697 0.000
Ge: 0.697 0.303 0.000
Ge: 0.697 0.697 0.393

**ΔH_f (0 K)**: -85.9 kJ/mol of formula units
**Space group**: I4/mmm, No. 139
**Size of the total moment**: 0.00 μB/atom

---

Record 5
## NaLiGe3 (PBE-GGA)

Data for an optimized crystal structure of NaLiGe3.

a b c (Å): 11.926 5.890 5.891
angles (deg): 90.00 90.00 90.00
Atoms (fractional coordinates):
Na: 0.250 0.000 0.000
Na: 0.250 0.500 0.500
Na: 0.750 0.000 0.000
Na: 0.750 0.500 0.500
Li: 0.000 0.250 0.250
Li: 0.000 0.750 0.750
Li: 0.500 0.250 0.750
Li: 0.500 0.750 0.250
Ge: 0.000 0.250 0.750
Ge: 0.000 0.750 0.250
Ge: 0.146 0.000 0.500
Ge: 0.146 0.500 0.000
Ge: 0.354 0.000 0.500
Ge: 0.354 0.500 0.000
Ge: 0.500 0.250 0.250
Ge: 0.500 0.750 0.750
Ge: 0.646 0.000 0.500
Ge: 0.646 0.500 0.000
Ge: 0.854 0.000 0.500
Ge: 0.854 0.500 0.000

**ΔH_f (0 K)**: -26.2 kJ/mol of formula units
**Space group**: Pnna, No. 52
**Energy relative to the lowest polymorph listed for this composition**: 0 kJ/mol of formula units
**Size of the total moment**: 0.00 μB/atom

---

Record 6
## NaLi2Ge (PBE-GGA)

Data for an optimized crystal structure of NaLi2Ge.

a b c (Å): 4.623 4.623 3.504
angles (deg): 90.00 90.00 90.00
Atoms (fractional coordinates):
Na: 0.000 0.000 0.000
Li: 0.000 0.500 0.500
Li: 0.500 0.000 0.500
Ge: 0.500 0.500 0.000

**ΔH_f (0 K)**: -41.0 kJ/mol of formula units
**Space group**: P4/mmm, No. 123
**Size of the total moment**: 0.00 μB/atom

---

Record 7
## NaLi2Ge2 (PBE-GGA)

Data for an optimized crystal structure of NaLi2Ge2.

a b c (Å): 5.758 5.758 5.211
angles (deg): 93.81 93.81 40.32
Atoms (fractional coordinates):
Na: 0.000 0.000 0.000
Li: 0.336 0.336 0.391
Li: 0.664 0.664 0.609
Ge: 0.287 0.287 0.874
Ge: 0.713 0.713 0.126

**ΔH_f (0 K)**: -98.0 kJ/mol of formula units
**Space group**: C2/m, No. 12
**Energy relative to the lowest polymorph listed for this composition**: 9 kJ/mol of formula units
**Size of the total moment**: 0.00 μB/atom

---

Record 8
## Na2Li2Ge3 (PBE-GGA)

Data for an optimized crystal structure of Na2Li2Ge3.

a b c (Å): 5.786 5.786 6.696
angles (deg): 114.83 114.83 46.89
Atoms (fractional coordinates):
Na: 0.161 0.161 0.277
Na: 0.839 0.839 0.723
Li: 0.129 0.129 0.746
Li: 0.871 0.871 0.254
Ge: 0.405 0.405 0.066
Ge: 0.500 0.500 0.500
Ge: 0.595 0.595 0.934

**ΔH_f (0 K)**: -86.7 kJ/mol of formula units
**Space group**: C2/m, No. 12
**Size of the total moment**: 0.00 μB/atom

---

Record 9
## NaLi2Ge (PBE-GGA)

Data for an optimized crystal structure of NaLi2Ge.

a b c (Å): 3.153 3.153 8.244
angles (deg): 90.00 90.00 90.00
Atoms (fractional coordinates):
Na: 0.000 0.000 0.000
Li: 0.500 0.500 0.314
Li: 0.500 0.500 0.686
Ge: 0.000 0.000 0.500

**ΔH_f (0 K)**: -47.4 kJ/mol of formula units
**Space group**: P4/mmm, No. 123
**Size of the total moment**: 0.00 μB/atom

---

Record 10
## NaLi2Ge (PBE-GGA)

Data for an optimized crystal structure of NaLi2Ge.

a b c (Å): 9.845 9.845 9.845
angles (deg): 154.58 154.58 36.26
Atoms (fractional coordinates):
Na: 0.000 0.000 0.000
Na: 0.750 0.250 0.500
Li: 0.199 0.625 0.074
Li: 0.375 0.449 0.574
Li: 0.551 0.125 0.926
Li: 0.875 0.801 0.426
Ge: 0.250 0.750 0.500
Ge: 0.500 0.500 0.000

**ΔH_f (0 K)**: 10.1 kJ/mol of formula units
**Space group**: I-42d, No. 122
**Size of the total moment**: 0.00 μB/atom

---

Record 11
## NaLi2Ge2 (PBE-GGA)

Data for an optimized crystal structure of NaLi2Ge2.

a b c (Å): 7.732 7.732 3.137
angles (deg): 90.00 90.00 90.00
Atoms (fractional coordinates):
Na: 0.000 0.000 0.000
Na: 0.500 0.500 0.000
Li: 0.181 0.319 0.500
Li: 0.319 0.819 0.500
Li: 0.681 0.181 0.500
Li: 0.819 0.681 0.500
Ge: 0.115 0.615 0.000
Ge: 0.385 0.115 0.000
Ge: 0.615 0.885 0.000
Ge: 0.885 0.385 0.000

**ΔH_f (0 K)**: -107.1 kJ/mol of formula units
**Space group**: P4/mbm, No. 127
**Energy relative to the lowest polymorph listed for this composition**: 0 kJ/mol of formula units
**Size of the total moment**: 0.00 μB/atom

---

Record 12
## NaLi2Ge2 (PBE-GGA)

Data for an optimized crystal structure of NaLi2Ge2.

a b c (Å): 6.156 6.156 6.156
angles (deg): 137.23 137.23 62.09
Atoms (fractional coordinates):
Na: 0.000 0.000 0.000
Li: 0.250 0.750 0.500
Li: 0.750 0.250 0.500
Ge: 0.390 0.390 0.000
Ge: 0.610 0.610 0.000

**ΔH_f (0 K)**: -58.1 kJ/mol of formula units
**Space group**: I4/mmm, No. 139
**Energy relative to the lowest polymorph listed for this composition**: 49 kJ/mol of formula units
**Size of the total moment**: 0.00 μB/atom